A geometry-optimized Tb2AgPd9 structure. Source: Alexandria, functional GGA-PBE.

Geometry as CIF:
```
data_Tb2AgPd9
_symmetry_space_group_name_H-M 'P 4/m m m'
_symmetry_Int_Tables_number 123
_symmetry_space_group_name_Hall '-P 4 2'
_cell_length_a 4.095
_cell_length_b 4.095
_cell_length_c 12.259
_cell_angle_alpha 90.00
_cell_angle_beta 90.00
_cell_angle_gamma 90.00
loop_
_atom_site_label
_atom_site_fract_x
_atom_site_fract_y
_atom_site_fract_z
Tb1 0.000 0.000 0.172
Ag1 0.000 0.000 0.500
Pd1 0.000 0.500 0.000
Pd2 0.000 0.500 0.339
Pd3 0.500 0.500 0.169
Pd4 0.500 0.500 0.500
```

Summary:
Theoretical density   11.2 g cm⁻³
DFT formation energy   -0.566 eV/atom

A geometry-optimized Ac2AlNiPd6 structure. Source: Alexandria, functional GGA-PBE.

Geometry as CIF:
```
data_Ac2AlNiPd6
_symmetry_space_group_name_H-M 'C 1 2/m 1'
_symmetry_Int_Tables_number 12
_cell_length_a 12.127
_cell_length_b 5.548
_cell_length_c 8.430
_cell_angle_alpha 90.00
_cell_angle_beta 132.67
_cell_angle_gamma 90.00
loop_
_symmetry_equiv_pos_as_xyz
'x,y,z'
'-x,-y,-z'
'-x,y,-z'
'x,-y,z'
'x+1/2,y+1/2,z'
'-x+1/2,-y+1/2,-z'
'-x+1/2,y+1/2,-z'
'x+1/2,-y+1/2,z'
loop_
_atom_site_label
_atom_site_fract_x
_atom_site_fract_y
_atom_site_fract_z
Ac1 0.239 0.000 0.203
Al1 0.000 0.000 0.500
Ni1 0.000 0.500 0.000
Pd1 0.001 0.252 0.747
Pd2 0.250 0.000 0.602
```

Summary:
Theoretical density   9.4 g cm⁻³
DFT formation energy   -0.657 eV/atom

A geometry-optimized GaNiIN2 structure. Source: Alexandria, functional GGA-PBE.

Geometry as CIF:
```
data_GaNiIN2
_symmetry_space_group_name_H-M 'P 4/m m m'
_symmetry_Int_Tables_number 123
_symmetry_space_group_name_Hall '-P 4 2'
_cell_length_a 3.922
_cell_length_b 3.922
_cell_length_c 5.952
_cell_angle_alpha 90.00
_cell_angle_beta 90.00
_cell_angle_gamma 90.00
loop_
_atom_site_label
_atom_site_fract_x
_atom_site_fract_y
_atom_site_fract_z
Ga1 0.000 0.000 0.000
Ni1 0.500 0.500 0.500
I1 0.500 0.500 0.000
N1 0.000 0.500 0.500
```

Summary:
Theoretical density   5.1 g cm⁻³
Energy above the lowest structure with this stoichiometry   0 meV per atom